SrTmTl | PBE | optimized geometry

POSCAR file:
```
SrTmTl
1.0
5.4141 0.0000 0.0000
-2.7070 4.6887 0.0000
0.0000 0.0000 4.0012
Sr Tm Tl
1 1 1
Cartesian
0.0000 0.0000 0.0000
0.0000 3.1258 2.0586
2.7070 1.5629 1.8231
```

Calculated values
Fermi-level density of states: 0.7351 states/eV per atom
size of the total moment: 0.0 μB/cell
formation energy: -0.1034 eV/atom
electronic total energy: -2.943 eV/atom